The following is a GGA-PBE calculation of a geometry-optimized Mg2TlSnH structure, from Alexandria via LeMat-Bulk.

As for the total DFT energy (no corrections): -2.51 eV/atom. Its symmetry is P4/mmm, No. 123.

Cell and atoms, written as POSCAR:
```
Mg2TlSnH
1.0
4.6578 0.0000 0.0000
0.0000 4.6578 0.0000
0.0000 0.0000 4.7324
Mg Tl Sn H
2 1 1 1
direct
0.0000 0.5000 0.0000
0.5000 0.0000 0.0000
0.0000 0.0000 0.5000
0.5000 0.5000 0.5000
0.0000 0.0000 0.0000
```


The following is a GGA-PBE calculation of a geometry-optimized CaAlAgAu structure, from Alexandria via LeMat-Bulk.

For the energy relative to the elements, the calculation gives -0.398 eV per atom. Its symmetry is F-43m, No. 216.

Cell and atoms, written as POSCAR:
```
CaAlAgAu
1.0
0.0000 3.4291 3.4291
3.4291 0.0000 3.4291
3.4291 3.4291 0.0000
Ca Al Ag Au
1 1 1 1
direct
0.0000 0.0000 0.0000
0.5000 0.5000 0.5000
0.2500 0.2500 0.2500
0.7500 0.7500 0.7500
```


The following is a GGA-PBE calculation of a geometry-optimized Ce2CdAs structure, from Alexandria via LeMat-Bulk.

For the energy relative to the elements, the calculation gives -0.325 eV per atom. Its symmetry is R-3m, No. 166.

Cell and atoms, written as POSCAR:
```
Ce2CdAs
1.0
1.9233 1.1104 10.3631
-1.9233 1.1104 10.3631
0.0000 -2.2208 10.3631
Ce Cd As
2 1 1
direct
0.1083 0.1083 0.1083
0.8917 0.8917 0.8917
0.0000 0.0000 0.0000
0.5000 0.5000 0.5000
```


The following is a GGA-PBE calculation of a geometry-optimized BaTl3Tc structure, from Alexandria via LeMat-Bulk.

For the energy relative to the elements, the calculation gives 0.031 eV per atom. Its symmetry is Pm-3m, No. 221.

Cell and atoms, written as POSCAR:
```
BaTl3Tc
1.0
5.3794 0.0000 0.0000
0.0000 5.3794 0.0000
0.0000 0.0000 5.3794
Ba Tl Tc
1 3 1
direct
0.0000 0.0000 0.0000
0.0000 0.5000 0.5000
0.5000 0.0000 0.5000
0.5000 0.5000 0.0000
0.5000 0.5000 0.5000
```


The following is a GGA-PBE calculation of a geometry-optimized Ac2HgAu4 structure, from Alexandria via LeMat-Bulk.

For the energy relative to the elements, the calculation gives -0.588 eV per atom. Its symmetry is I4/mmm, No. 139.

Cell and atoms, written as POSCAR:
```
Ac2HgAu4
1.0
-2.2458 2.2458 9.4516
2.2458 -2.2458 9.4516
2.2458 2.2458 -9.4516
Ac Hg Au
2 1 4
direct
0.1178 0.1178 0.0000
0.8822 0.8822 0.0000
0.5000 0.5000 0.0000
0.2500 0.7500 0.5000
0.3486 0.3486 0.0000
0.6514 0.6514 0.0000
0.7500 0.2500 0.5000
```


The following is a GGA-PBE calculation of a geometry-optimized Cs2KAg2F7 structure, from Alexandria via LeMat-Bulk.

The formation energy (no corrections) comes out at -24.1 eV per formula unit. Its symmetry is I4/mmm, No. 139.

Cell and atoms, written as POSCAR:
```
Cs2KAg2F7
1.0
-2.2463 2.2463 11.6537
2.2463 -2.2463 11.6537
2.2463 2.2463 -11.6537
Cs K Ag F
2 1 2 7
direct
0.1819 0.1819 0.0000
0.8181 0.8181 0.0000
0.0000 0.0000 0.0000
0.4078 0.4078 0.0000
0.5922 0.5922 0.0000
0.0878 0.5878 0.5000
0.3124 0.3124 0.0000
0.4122 0.9122 0.5000
0.5000 0.5000 0.0000
0.5878 0.0878 0.5000
0.6876 0.6876 0.0000
0.9122 0.4122 0.5000
```


The following is a GGA-PBE calculation of a geometry-optimized Na5CdBr8 structure, from Alexandria via LeMat-Bulk.

The formation energy (no corrections) comes out at -16.8 eV per formula unit. Its symmetry is F-43m, No. 216.

Cell and atoms, written as POSCAR:
```
Na5CdBr8
1.0
0.0000 6.1065 6.1065
6.1065 0.0000 6.1065
6.1065 6.1065 0.0000
Na Cd Br
5 1 8
direct
0.0000 0.0000 0.0000
0.1177 0.6274 0.6274
0.6274 0.1177 0.6274
0.6274 0.6274 0.1177
0.6274 0.6274 0.6274
0.2500 0.2500 0.2500
0.3762 0.3762 0.3762
0.3762 0.3762 0.8713
0.3762 0.8713 0.3762
0.3994 0.8669 0.8669
0.8669 0.3994 0.8669
0.8669 0.8669 0.3994
0.8669 0.8669 0.8669
0.8713 0.3762 0.3762
```


The following is a GGA-PBE calculation of a geometry-optimized Np2TcSb structure, from Alexandria via LeMat-Bulk.

The formation energy (no corrections) comes out at 0.1 eV per formula unit. Its symmetry is P4/mmm, No. 123.

Cell and atoms, written as POSCAR:
```
Np2TcSb
1.0
4.3488 0.0000 0.0000
0.0000 4.3488 0.0000
0.0000 0.0000 4.4192
Np Tc Sb
2 1 1
direct
0.0000 0.5000 0.0000
0.5000 0.0000 0.0000
0.0000 0.0000 0.5000
0.5000 0.5000 0.5000
```